[1]
The following is a DFT calculation (GGA-PBE) of a geometry-optimized CdAgBr structure.

```
CdAgBr
1.0
-1.602 -1.937 4.222
2.119 -4.049 1.806
2.781 0.276 4.041
Ag Br Cd
1 1 1
direct
0.750 0.750 0.750
0.000 0.000 0.000
0.500 0.500 0.500
```

Its offset from the most stable computed form is 212 meV per atom. The uncorrected formation energy is -0.002 eV/atom.


[2]
The following is a DFT calculation (GGA-PBE) of a geometry-optimized SrCuP2O structure.

```
SrCuP2O
1.0
-5.564 0.702 0.855
0.166 -3.806 4.203
0.813 3.083 2.760
P O Sr Cu
2 1 1 1
direct
0.500 0.000 0.000
0.000 0.500 0.000
0.000 0.000 0.500
0.000 0.000 0.000
0.500 0.500 0.500
```

Its offset from the most stable computed form is 1235 meV per atom. The uncorrected formation energy is 1.089 eV/atom.


[3]
The following is a DFT calculation (GGA-PBE) of a geometry-optimized Ta2CoIrN structure.

```
Ta2CoIrN
1.0
4.202 0.000 0.000
0.000 4.202 0.000
0.000 0.000 3.809
Ta Ir Co N
2 1 1 1
direct
0.000 0.500 0.000
0.500 0.000 0.000
0.500 0.500 0.500
0.000 0.000 0.500
0.000 0.000 0.000
```

The uncorrected formation energy is -0.581 eV/atom.


[4]
The following is a DFT calculation (GGA-PBE) of a geometry-optimized LiPuMgTl structure.

```
LiPuMgTl
1.0
-2.568 -0.121 4.457
-0.282 -4.378 2.689
2.566 -0.465 4.436
Tl Mg Li Pu
1 1 1 1
direct
0.250 0.250 0.250
0.000 0.000 0.000
0.750 0.750 0.750
0.500 0.500 0.500
```

The formation enthalpy at 0 K comes out at 0.02 eV per atom.